Record 1
KThNb2O8 | PBE-GGA | relaxed

Properties
Its density of states at the Fermi level is 0.8307 states/eV/atom. The uncorrected formation energy comes out at -30.69 eV per formula unit. For the total moment, the calculation gives 1.1 μB per formula unit. The total energy is -99.01 eV per cell.

abc: 6.1980 6.1980 7.7118
angles: 90.00 90.00 120.00
Space group P-3m1 (No. 164)
Inequivalent atoms, fractional coordinates:
K1 0.0000 0.0000 0.0000 x1
Th1 0.0000 0.0000 0.5000 x1
Nb1 0.3333 0.6667 0.2331 x2
O1 0.1669 0.3338 0.3114 x6
O2 0.3333 0.6667 0.9938 x2

***

Record 2
BeZn4Re | PBE-GGA | relaxed

Properties
Its density of states at the Fermi level is 0.6404 states/eV/atom. For the total moment, the calculation gives 0.0 μB per formula unit. The total energy is -73.87 eV per cell.

abc: 6.901 6.901 6.901
angles: 90.00 90.00 90.00
Space group F-43m (No. 216)
Inequivalent atoms, fractional coordinates:
Be1 0.000 0.000 0.000 x4
Zn1 0.124 0.124 0.624 x16
Re1 0.250 0.250 0.250 x4

***

Record 3
SnSb2TeRu | PBE-GGA | relaxed

Properties
Its density of states at the Fermi level is 1.3306 states/eV/atom. The uncorrected formation energy comes out at 7.44 eV per formula unit. For the total moment, the calculation gives 2.3 μB per formula unit. The relative energy among the computed polymorphs is 1.140 eV per atom. The total energy is -17.23 eV per cell.

abc: 5.583 5.583 5.587
angles: 90.00 90.00 90.00
Space group P4/mmm (No. 123)
Inequivalent atoms, fractional coordinates:
Sn1 0.000 0.000 0.000 x1
Sb1 0.000 0.500 0.000 x2
Te1 0.000 0.000 0.500 x1
Ru1 0.500 0.500 0.500 x1

***

Record 4
MgZr2SbH | PBE-GGA | relaxed

Properties
Its density of states at the Fermi level is 1.1882 states/eV/atom. For the total moment, the calculation gives 0.0 μB per formula unit. The relative energy among the computed polymorphs is 1.568 eV per atom. The total energy is -19.98 eV per cell.

abc: 5.429 5.429 5.141
angles: 90.00 90.00 90.00
Space group P4/mmm (No. 123)
Inequivalent atoms, fractional coordinates:
Mg1 0.000 0.000 0.000 x1
Zr1 0.000 0.500 0.500 x2
Sb1 0.000 0.000 0.500 x1
H1 0.500 0.500 0.000 x1

***

Record 5
GaBN2 | PBE-GGA | relaxed

Properties
Its density of states at the Fermi level is 0.6298 states/eV/atom. The uncorrected formation energy comes out at 7.81 eV per formula unit. For the total moment, the calculation gives 0.0 μB per formula unit. The total energy is -74.20 eV per cell.

abc: 5.138 5.138 5.138
angles: 90.00 90.00 90.00
Space group Fm-3m (No. 225)
Inequivalent atoms, fractional coordinates:
Ga1 0.000 0.000 0.000 x4
B1 0.000 0.000 0.500 x4
N1 0.250 0.250 0.250 x8

***

Record 6
KTl2ReO4 | PBE-GGA | relaxed

Properties
The uncorrected formation energy comes out at -9.73 eV per formula unit. For the total moment, the calculation gives 0.0 μB per formula unit. The total energy is -95.67 eV per cell.

abc: 6.446 6.446 7.889
angles: 90.00 90.00 90.00
Space group I-4 (No. 82)
Inequivalent atoms, fractional coordinates:
K1 0.000 0.000 0.000 x2
Tl1 0.000 0.000 0.500 x2
Tl2 0.000 0.500 0.750 x2
Re1 0.000 0.500 0.250 x2
O1 0.188 0.701 0.187 x8

***

Record 7
TbMgAgRu | PBE-GGA | relaxed

Properties
Its density of states at the Fermi level is 0.3792 states/eV/atom. For the total moment, the calculation gives 0.0 μB per formula unit. The total energy is -75.95 eV per cell.

abc: 6.777 6.777 6.777
angles: 90.00 90.00 90.00
Space group F-43m (No. 216)
Inequivalent atoms, fractional coordinates:
Tb1 0.000 0.000 0.000 x4
Mg1 0.000 0.000 0.500 x4
Ag1 0.250 0.250 0.250 x4
Ru1 0.250 0.250 0.750 x4

***

Record 8
CoCuCl6 | PBE-GGA | relaxed

Properties
Its density of states at the Fermi level is 0.8464 states/eV/atom. The uncorrected formation energy comes out at -3.22 eV per formula unit. For the total moment, the calculation gives 0.0 μB per formula unit. The relative energy among the computed polymorphs is 0.000 eV per atom. The total energy is -50.99 eV per cell.

abc: 6.463 10.910 6.452
angles: 90.00 118.37 90.00
Space group C2/m (No. 12)
Inequivalent atoms, fractional coordinates:
Co1 0.000 0.000 0.000 x2
Cu1 0.000 0.500 0.500 x2
Cl1 0.195 0.000 0.800 x4
Cl2 0.248 0.359 0.750 x8

***

Record 9
SrBe2BPb | PBE-GGA | relaxed

Properties
Its density of states at the Fermi level is 0.5363 states/eV/atom. For the total moment, the calculation gives 1.7 μB per formula unit. The total energy is -12.25 eV per cell.

abc: 4.522 4.522 6.717
angles: 90.00 90.00 90.00
Space group P4/mmm (No. 123)
Inequivalent atoms, fractional coordinates:
Sr1 0.000 0.000 0.000 x1
Be1 0.000 0.500 0.500 x2
B1 0.500 0.500 0.000 x1
Pb1 0.000 0.000 0.500 x1

***

Record 10
NbSiC3 | PBE-GGA | relaxed

Properties
Its density of states at the Fermi level is 0.8010 states/eV/atom. The uncorrected formation energy comes out at 10.93 eV per formula unit. For the total moment, the calculation gives 0.0 μB per formula unit. The relative energy among the computed polymorphs is 0.647 eV per atom. The total energy is -32.24 eV per cell.

abc: 4.200 4.200 4.200
angles: 90.00 90.00 90.00
Space group Pm-3m (No. 221)
Inequivalent atoms, fractional coordinates:
Nb1 0.000 0.000 0.000 x1
Si1 0.500 0.500 0.500 x1
C1 0.000 0.000 0.500 x3

***

Record 11
SmDy2ThS4 | PBE-GGA | relaxed

Properties
Its density of states at the Fermi level is 0.4070 states/eV/atom. The uncorrected formation energy comes out at -15.63 eV per formula unit. For the total moment, the calculation gives 0.0 μB per formula unit. The total energy is -53.49 eV per cell.

abc: 6.846 3.931 6.934
angles: 90.00 109.08 90.00
Space group P2/m (No. 10)
Inequivalent atoms, fractional coordinates:
Sm1 0.000 0.000 0.000 x1
Dy1 0.000 0.500 0.500 x1
Dy2 0.500 0.000 0.500 x1
Th1 0.500 0.500 0.000 x1
S1 0.244 0.000 0.737 x2
S2 0.252 0.500 0.261 x2

***

Record 12
MgCrFe2Se | PBE-GGA | relaxed

Properties
Its density of states at the Fermi level is 1.3542 states/eV/atom. The uncorrected formation energy comes out at 3.64 eV per formula unit. For the total moment, the calculation gives 2.8 μB per formula unit. The total energy is -27.99 eV per cell.

abc: 4.357 4.357 4.610
angles: 90.00 90.00 90.00
Space group P4/mmm (No. 123)
Inequivalent atoms, fractional coordinates:
Mg1 0.000 0.000 0.000 x1
Cr1 0.500 0.500 0.500 x1
Fe1 0.000 0.500 0.500 x2
Se1 0.500 0.500 0.000 x1

***

Calculated values (Å³/f.u.) of volume for the records, taken in order: 257, 82, 174, 152, 34, 164, 78, 200, 137, 74, 176, 88.